No. 1
The following is a GGA-PBE calculation of Pm4Pr15Ho after structural relaxation, from Alexandria via LeMat-Bulk.

For the calculated total energy, the calculation gives -95.021 eV/cell. The value obtained for the calculated formation energy is 13 meV per atom. The magnetic moment is 0.00 μB/f.u.

The structure belongs to space group P4/mmm (No. 123); the cell edges are 5.230, 5.230 and 26.050 Å and the angles 90.00°, 90.00° and 90.00°. The inequivalent atoms are Pm at (0.000, 0.000, 0.100), Pm at (0.000, 0.000, 0.301), Pr at (0.000, 0.500, 0.000), Pr at (0.000, 0.500, 0.201), Pr at (0.000, 0.500, 0.401), Pr at (0.500, 0.500, 0.100), Pr at (0.500, 0.500, 0.301), Pr at (0.500, 0.500, 0.500) and Ho at (0.000, 0.000, 0.500).

***

No. 2
The following is a GGA-PBE calculation of Pm4PrHo2 after structural relaxation, from Alexandria via LeMat-Bulk.

The value obtained for the energy above the lowest structure with this stoichiometry is 0 kJ/mol of formula units. For the calculated total energy, the calculation gives -260.208 eV/cell. The value obtained for the calculated formation energy is 59 meV per atom. The magnetic moment is 0.00 μB/f.u.

The structure belongs to space group Fdd2 (No. 43); the cell edges are 12.027, 24.343 and 6.482 Å and the angles 90.00°, 90.00° and 90.00°. The inequivalent atoms are Pm at (0.050, 0.072, 0.000), Pm at (0.064, 0.143, 0.525), Pr at (0.000, 0.000, 0.485) and Ho at (0.027, 0.216, 0.049).

***

No. 3
The following is a GGA-PBE calculation of Pm10PrHo6 after structural relaxation, from Alexandria via LeMat-Bulk.

For the calculated total energy, the calculation gives -77.503 eV/cell. The value obtained for the calculated formation energy is 132 meV per atom. The magnetic moment is 0.00 μB/f.u.

The structure belongs to space group P-31m (No. 162); the cell edges are 9.8226, 9.8226 and 6.8952 Å and the angles 90.00°, 90.00° and 120.00°. The inequivalent atoms are Pm at (0.0000, 0.2775, 0.3187), Pm at (0.3333, 0.6667, 0.0000), Pm at (0.3333, 0.6667, 0.5000), Pr at (0.0000, 0.0000, 0.0000) and Ho at (0.0000, 0.3720, 0.8086).

***

No. 4
The following is a GGA-PBE calculation of Pm4Pr8Ho3 after structural relaxation, from Alexandria via LeMat-Bulk.

The value obtained for the energy above the lowest structure with this stoichiometry is 265 kJ/mol of formula units. For the calculated total energy, the calculation gives -132.648 eV/cell. The value obtained for the calculated formation energy is 310 meV per atom. The magnetic moment is 0.00 μB/f.u.

The structure belongs to space group C2/m (No. 12); the cell edges are 14.130, 12.356 and 6.937 Å and the angles 90.00°, 119.15° and 90.00°. The inequivalent atoms are Pm at (0.000, 0.000, 0.000), Pm at (0.000, 0.000, 0.500), Pm at (0.250, 0.250, 0.000), Pr at (0.000, 0.248, 0.500), Pr at (0.000, 0.298, 0.000), Pr at (0.203, 0.500, 0.183), Pr at (0.247, 0.000, 0.277), Ho at (0.000, 0.500, 0.500) and Ho at (0.250, 0.250, 0.500).

***

No. 5
The following is a GGA-PBE calculation of PmPr4Ho after structural relaxation, from Alexandria via LeMat-Bulk.

The value obtained for the energy above the lowest structure with this stoichiometry is 0 kJ/mol of formula units. For the calculated total energy, the calculation gives -56.683 eV/cell. The value obtained for the calculated formation energy is 17 meV per atom. The magnetic moment is 0.00 μB/f.u.

The structure belongs to space group Cmmm (No. 65); the cell edges are 5.208, 15.585 and 5.195 Å and the angles 90.00°, 90.00° and 90.00°. The inequivalent atoms are Pm at (0.000, 0.000, 0.000), Pr at (0.000, 0.165, 0.500), Pr at (0.000, 0.335, 0.000) and Ho at (0.000, 0.500, 0.500).

***

No. 6
The following is a GGA-PBE calculation of Pm5Pr2Ho2 after structural relaxation, from Alexandria via LeMat-Bulk.

The value obtained for the energy above the lowest structure with this stoichiometry is 160 kJ/mol of formula units. For the calculated total energy, the calculation gives -162.641 eV/cell. The value obtained for the calculated formation energy is 201 meV per atom. The magnetic moment is 0.00 μB/f.u.

The structure belongs to space group Ima2 (No. 46); the cell edges are 15.023, 11.999 and 6.864 Å and the angles 90.00°, 90.00° and 90.00°. The inequivalent atoms are Pm at (0.053, 0.250, 0.000), Pm at (0.143, 0.735, 0.329), Pm at (0.250, 0.242, 0.299), Pr at (0.126, 0.503, 0.648), Ho at (0.000, 0.000, 0.679) and Ho at (0.250, 0.508, 0.109).